A plane-wave DFT calculation with PBE was carried out for Ac5LaSm2Dy after structural relaxation.

The space group is Cmc2_1 (No. 36) and the conventional cell measures 6.003, 21.779 and 11.270 Å, with angles of 90.00, 90.00 and 90.00 degrees. The asymmetric unit holds Ac at (0.000, 0.011, 0.000), Ac at (0.000, 0.276, 0.309), Ac at (0.000, 0.298, 0.690), Ac at (0.000, 0.373, 0.006), Ac at (0.000, 0.486, 0.733), La at (0.000, 0.407, 0.449), Sm at (0.000, 0.113, 0.288), Sm at (0.000, 0.116, 0.731) and Dy at (0.000, 0.190, 0.001).

For the magnetic moment, the calculation gives 0.0 μB per formula unit. The crystal system is orthorhombic.


A plane-wave DFT calculation with PBE was carried out for AcLa2SmDy5 after structural relaxation.

The space group is I4/mcm (No. 140) and the conventional cell measures 8.822, 8.822 and 15.966 Å, with angles of 90.00, 90.00 and 90.00 degrees. The asymmetric unit holds Ac at (0.000, 0.000, 0.250), La at (0.117, 0.383, 0.000), Sm at (0.000, 0.500, 0.250), Dy at (0.000, 0.000, 0.000) and Dy at (0.211, 0.289, 0.364).

For the magnetic moment, the calculation gives 0.0 μB per formula unit. The crystal system is tetragonal.


A plane-wave DFT calculation with PBE was carried out for AcLaSm2Dy after structural relaxation.

The space group is P2_1/m (No. 11) and the conventional cell measures 8.259, 5.273 and 8.288 Å, with angles of 90.00, 90.30 and 90.00 degrees. The asymmetric unit holds Ac at (0.052, 0.250, 0.154), La at (0.256, 0.250, 0.744), Sm at (0.158, 0.750, 0.448), Sm at (0.455, 0.250, 0.347) and Dy at (0.357, 0.750, 0.048).

For the magnetic moment, the calculation gives 0.0 μB per formula unit. The crystal system is monoclinic.


A plane-wave DFT calculation with PBE was carried out for AcLa2Sm6Dy3 after structural relaxation.

The space group is C2/m (No. 12) and the conventional cell measures 6.344, 10.996 and 12.118 Å, with angles of 90.00, 100.10 and 90.00 degrees. The asymmetric unit holds Ac at (0.000, 0.000, 0.000), La at (0.000, 0.333, 0.000), Sm at (0.246, 0.333, 0.742), Sm at (0.249, 0.000, 0.742), Dy at (0.000, 0.167, 0.500) and Dy at (0.000, 0.500, 0.500).

For the magnetic moment, the calculation gives 0.0 μB per formula unit. The crystal system is monoclinic.


Number 1: DFT total energy -4.2366 eV per atom. Number 2: DFT total energy -4.3917 eV per atom. Number 3: DFT total energy -4.5750 eV per atom. Number 4: DFT total energy -4.6440 eV per atom.